# 1
Compound: Ac5NdTl2Co
Source: Alexandria via LeMat-Bulk
Functional: PBE
Structure: optimized geometry

POSCAR file:
```
Ac5NdTl2Co
1.0
1.993 -11.125 0.000
1.993 11.125 0.000
0.000 0.000 14.514
Ac Nd Tl Co
10 2 4 2
direct
0.006 0.994 0.500
0.139 0.861 0.870
0.223 0.777 0.501
0.233 0.767 0.221
0.389 0.611 0.844
0.611 0.389 0.344
0.767 0.233 0.721
0.777 0.223 0.001
0.861 0.139 0.370
0.994 0.006 0.000
0.001 0.999 0.730
0.999 0.001 0.230
0.386 0.614 0.593
0.388 0.612 0.141
0.612 0.388 0.641
0.614 0.386 0.093
0.264 0.736 0.862
0.736 0.264 0.362
```

Results
- DFT formation energy (eV/atom) = -0.086
- VASP energy (eV/atom) = -4.21
- M_tot (μB per atom) = 0.000
- theoretical density (Mg/m³) = 9.012
- Fermi-level density of states (states/eV per atom) = 0.966

# 2
Compound: YBi3Pt
Source: Alexandria via LeMat-Bulk
Functional: PBE
Structure: optimized geometry

POSCAR file:
```
YBi3Pt
1.0
5.768 0.000 0.000
0.000 5.768 0.000
0.000 0.000 5.768
Y Bi Pt
1 3 1
direct
0.000 0.000 0.000
0.000 0.000 0.500
0.000 0.500 0.000
0.500 0.000 0.000
0.500 0.500 0.500
```

Results
- energy above the lowest structure with this stoichiometry (meV per atom) = 826.9
- DFT formation energy (eV/atom) = 0.893
- VASP energy (eV/atom) = -3.94
- M_tot (μB per atom) = 0.000
- theoretical density (Mg/m³) = 7.884
- Fermi-level density of states (states/eV per atom) = 0.632

# 3
Compound: Cs2NpCu2Te6
Source: Alexandria via LeMat-Bulk
Functional: PBE
Structure: optimized geometry

POSCAR file:
```
Cs2NpCu2Te6
1.0
7.491 -3.282 0.000
7.491 3.282 0.000
-4.854 0.000 9.151
Cs Np Cu Te
2 1 2 6
direct
0.193 0.193 0.183
0.807 0.807 0.817
0.000 0.000 0.500
0.398 0.398 0.674
0.602 0.602 0.326
0.206 0.704 0.226
0.214 0.214 0.587
0.296 0.794 0.774
0.704 0.206 0.226
0.786 0.786 0.413
0.794 0.296 0.774
```

Results
- uncorrected formation energy (eV per atom) = -0.42
- VASP energy (eV/atom) = -4.21
- M_tot (μB per atom) = 0.153
- theoretical density (Mg/m³) = 5.150
- Fermi-level density of states (states/eV per atom) = 0.991

# 4
Compound: Ca2Be4Si3Os
Source: Alexandria via LeMat-Bulk
Functional: PBE
Structure: optimized geometry

POSCAR file:
```
Ca2Be4Si3Os
1.0
3.803 0.000 0.000
0.000 3.803 0.000
0.000 0.000 10.178
Ca Be Si Os
2 4 3 1
direct
0.000 0.500 0.246
0.500 0.000 0.754
0.000 0.000 0.000
0.000 0.500 0.634
0.500 0.000 0.366
0.500 0.500 0.000
0.000 0.500 0.871
0.500 0.000 0.129
0.500 0.500 0.500
0.000 0.000 0.500
```

Results
- uncorrected formation energy (eV per atom) = -0.22
- VASP energy (eV/atom) = -4.86
- M_tot (μB per atom) = 0.000
- theoretical density (Mg/m³) = 4.407
- Fermi-level density of states (states/eV per atom) = 0.499

# 5
Compound: Li4TbTl
Source: Alexandria via LeMat-Bulk
Functional: PBE
Structure: optimized geometry

POSCAR file:
```
Li4TbTl
1.0
0.000 3.911 3.911
3.911 0.000 3.911
3.911 3.911 0.000
Li Tb Tl
4 1 1
direct
0.124 0.124 0.124
0.124 0.124 0.627
0.124 0.627 0.124
0.627 0.124 0.124
0.500 0.500 0.500
0.750 0.750 0.750
```

Results
- DFT formation energy (eV/atom) = -0.101
- VASP energy (eV/atom) = -2.54
- M_tot (μB per atom) = 0.000
- theoretical density (Mg/m³) = 5.428
- Fermi-level density of states (states/eV per atom) = 0.226

# 6
Compound: Hf2Ta2Cr
Source: Alexandria via LeMat-Bulk
Functional: PBE
Structure: optimized geometry

POSCAR file:
```
Hf2Ta2Cr
1.0
6.399 0.000 0.000
0.000 6.399 0.000
0.000 0.000 4.786
Hf Ta Cr
4 4 2
direct
0.163 0.337 0.000
0.337 0.837 0.000
0.663 0.163 0.000
0.837 0.663 0.000
0.155 0.655 0.500
0.345 0.155 0.500
0.655 0.845 0.500
0.845 0.345 0.500
0.000 0.000 0.500
0.500 0.500 0.500
```

Results
- DFT formation energy (eV/atom) = 0.305
- VASP energy (eV/atom) = -10.34
- M_tot (μB per atom) = 0.048
- theoretical density (Mg/m³) = 13.063
- Fermi-level density of states (states/eV per atom) = 1.105

# 7
Compound: CeBe3As3
Source: Alexandria via LeMat-Bulk
Functional: PBE
Structure: optimized geometry

POSCAR file:
```
CeBe3As3
1.0
6.338 0.000 0.000
0.000 6.338 0.000
0.000 0.000 6.338
Ce Be As
2 6 6
direct
0.000 0.000 0.000
0.500 0.500 0.500
0.000 0.250 0.500
0.000 0.750 0.500
0.250 0.500 0.000
0.500 0.000 0.250
0.500 0.000 0.750
0.750 0.500 0.000
0.000 0.500 0.250
0.000 0.500 0.750
0.250 0.000 0.500
0.500 0.250 0.000
0.500 0.750 0.000
0.750 0.000 0.500
```

Results
- energy above the lowest structure with this stoichiometry (meV per atom) = 194.7
- DFT formation energy (eV/atom) = -0.290
- VASP energy (eV/atom) = -4.73
- M_tot (μB per atom) = 0.197
- theoretical density (Mg/m³) = 5.113
- Fermi-level density of states (states/eV per atom) = 1.436

# 8
Compound: Ta4MnRu3
Source: Alexandria via LeMat-Bulk
Functional: PBE
Structure: optimized geometry

POSCAR file:
```
Ta4MnRu3
1.0
3.276 0.000 0.000
0.000 4.385 0.000
0.000 0.000 8.720
Ta Mn Ru
4 1 3
direct
0.000 0.000 0.000
0.000 0.000 0.500
0.000 0.500 0.237
0.000 0.500 0.763
0.500 0.500 0.000
0.500 0.000 0.253
0.500 0.000 0.747
0.500 0.500 0.500
```

Results
- DFT formation energy (eV/atom) = -0.288
- VASP energy (eV/atom) = -10.84
- M_tot (μB per atom) = 0.052
- theoretical density (Mg/m³) = 14.343
- Fermi-level density of states (states/eV per atom) = 0.812

# 9
Compound: PmSm8In2
Source: Alexandria via LeMat-Bulk
Functional: PBE
Structure: optimized geometry

POSCAR file:
```
PmSm8In2
1.0
8.640 -3.368 0.000
8.640 3.368 0.000
-1.377 0.000 6.065
Pm Sm In
1 8 2
direct
0.000 0.000 0.000
0.087 0.567 0.889
0.137 0.137 0.578
0.433 0.913 0.111
0.498 0.498 0.259
0.502 0.502 0.741
0.567 0.087 0.889
0.863 0.863 0.422
0.913 0.433 0.111
0.321 0.321 0.396
0.679 0.679 0.604
```

Results
- DFT formation energy (eV/atom) = -0.086
- VASP energy (eV/atom) = -4.45
- M_tot (μB per atom) = 0.000
- theoretical density (Mg/m³) = 7.421
- Fermi-level density of states (states/eV per atom) = 1.275

- What is the Fermi-level density of states in the third record?
  0.991 states/eV per atom

- Number 9 is which compound?
  PmSm8In2